# 1
VASP calculation (PBE-GGA) on crystalline ZrAl2In at its relaxed geometry.

Cell: 5.3172 5.8213 3.0665 Å, 75.05 89.32 116.97°
Last column: nearest neighbours and their distance in Å.
Atoms (fractional coordinates):
1 Zr 0.5000 0.5000 0.0000  4 Al 2.92, 4 In 3.05-3.08, 2 Zr 3.07
2 In 0.0000 0.5000 0.5000  4 Al 2.92, 4 Zr 3.05-3.08, 2 In 3.07
3 Al 0.0000 0.0000 0.0000  2 Zr 2.92, 2 In 2.92, 6 Al 3.05-3.08
4 Al 0.5000 0.0000 0.5000  2 In 2.92, 2 Zr 2.92, 6 Al 3.05-3.08

Results
DFT formation energy = -132 meV per atom
D(E_F) = 2.2 states/eV per cell
size of the total moment = 0.00 μB/cell
calculated total energy = -4.825 eV/atom



# 2
VASP calculation (PBE-GGA) on crystalline DyThRu at its relaxed geometry.

Cell: 4.0800 6.0703 13.1395 Å, 90.00 90.00 90.00°
Last column: nearest neighbours and their distance in Å.
Atoms (fractional coordinates):
1 Ru 0.2500 0.1650 0.0257  3 Th 2.67-2.95, 3 Dy 2.89-2.96, 2 Ru 2.94
2 Dy 0.2500 0.1274 0.4029  3 Ru 2.89-2.96
3 Th 0.7500 0.6230 0.3448  3 Ru 2.67-2.95
4 Ru 0.2500 0.6650 0.4743  3 Th 2.67-2.95, 3 Dy 2.89-2.96, 2 Ru 2.94
5 Dy 0.7500 0.3726 0.9029  3 Ru 2.89-2.96
6 Th 0.2500 0.3770 0.6552  3 Ru 2.67-2.95
7 Dy 0.7500 0.8726 0.5971  3 Ru 2.89-2.96
8 Th 0.7500 0.1230 0.1552  3 Ru 2.67-2.95
9 Ru 0.7500 0.3350 0.5257  3 Th 2.67-2.95, 3 Dy 2.89-2.96, 2 Ru 2.94
10 Dy 0.2500 0.6274 0.0971  3 Ru 2.89-2.96
11 Th 0.2500 0.8770 0.8448  3 Ru 2.67-2.95
12 Ru 0.7500 0.8350 0.9743  3 Th 2.67-2.95, 3 Dy 2.89-2.96, 2 Ru 2.94

Results
DFT formation energy = -319 meV per atom
energy above the most stable polymorph in this dataset = 0.05 eV per formula unit
D(E_F) = 13.0 states/eV per cell
size of the total moment = 0.00 μB/cell
calculated total energy = -7.418 eV/atom



# 3
VASP calculation (PBE-GGA) on crystalline NpP3 at its relaxed geometry.

Cell: 3.7561 3.7561 5.2976 Å, 110.76 110.76 90.00°
Last column: nearest neighbours and their distance in Å.
Atoms (fractional coordinates):
1 Np 0.0000 0.0000 0.0000  12 P 2.66-2.96
2 P 0.7500 0.2500 0.5000  8 P 2.66-2.96, 4 Np 2.96
3 P 0.2500 0.7500 0.5000  8 P 2.66-2.96, 4 Np 2.96
4 P 0.5000 0.5000 0.0000  4 Np 2.66, 8 P 2.96

Results
DFT formation energy = -354 meV per atom
D(E_F) = 6.2 states/eV per cell
size of the total moment = 2.15 μB/cell
calculated total energy = -7.647 eV/atom



# 4
VASP calculation (PBE-GGA) on crystalline Cr2Ag2PS6 at its relaxed geometry.

Cell: 5.8118 5.8118 7.1830 Å, 85.22 85.22 116.57°
Last column: nearest neighbours and their distance in Å.
Atoms (fractional coordinates):
1 S 0.3070 0.9700 0.6704  1 P 2.31, 2 Cr 2.36-2.46, 1 Ag 2.39
2 S 0.0300 0.6930 0.3296  1 P 2.31, 2 Cr 2.36-2.46, 1 Ag 2.39
3 S 0.3436 0.3436 0.3104  2 Cr 2.27, 1 P 2.31
4 Cr 0.6427 0.3573 0.5000  6 S 2.27-2.46
5 Ag 0.8481 0.1519 0.0000  2 S 2.39
6 S 0.6564 0.6564 0.6896  2 Cr 2.27, 1 P 2.31
7 Cr 0.3573 0.6427 0.5000  6 S 2.27-2.46
8 S 0.6930 0.0300 0.3296  1 P 2.31, 2 Cr 2.36-2.46, 1 Ag 2.39
9 P 0.0000 0.0000 0.5000  6 S 2.31
10 S 0.9700 0.3070 0.6704  1 P 2.31, 2 Cr 2.36-2.46, 1 Ag 2.39
11 Ag 0.1519 0.8481 0.0000  2 S 2.39

Results
raw formation energy = -0.34 eV per atom
D(E_F) = 0.8 states/eV per cell
size of the total moment = 3.01 μB/cell
calculated total energy = -5.352 eV/atom



# 5
VASP calculation (PBE-GGA) on crystalline Nd2AlAs at its relaxed geometry.

Cell: 3.9554 3.9554 10.1911 Å, 78.81 78.81 60.00°
Last column: nearest neighbours and their distance in Å.
Atoms (fractional coordinates):
1 Al 0.0000 0.0000 0.0000  2 Nd 3.20
2 Nd 0.1073 0.1073 0.6781  3 As 2.89, 1 Al 3.20
3 As 0.5000 0.5000 0.5000  6 Nd 2.89
4 Nd 0.8927 0.8927 0.3219  3 As 2.89, 1 Al 3.20

Results
DFT formation energy = -295 meV per atom
D(E_F) = 4.6 states/eV per cell
size of the total moment = 0.00 μB/cell
calculated total energy = -4.777 eV/atom



# 6
VASP calculation (PBE-GGA) on crystalline Y3BiO3 at its relaxed geometry.

Cell: 6.6840 6.6840 8.4699 Å, 66.76 66.76 60.00°
Last column: nearest neighbours and their distance in Å.
Atoms (fractional coordinates):
1 Bi 0.3333 0.3333 0.0000  6 Y 3.18-3.21
2 O 0.5588 0.1931 0.3821  4 Y 2.28-2.32
3 Y 0.2442 0.5455 0.3105  4 O 2.28-2.32
4 O 0.1931 0.8659 0.3821  4 Y 2.28-2.32
5 Bi 0.6667 0.6667 0.0000  6 Y 3.18-3.21
6 Y 0.8998 0.2442 0.3105  4 O 2.28-2.32
7 Y 0.4545 0.1002 0.6895  4 O 2.28-2.32
8 Y 0.1002 0.7558 0.6895  4 O 2.28-2.32
9 O 0.8069 0.1341 0.6179  4 Y 2.28-2.32
10 Y 0.5455 0.8998 0.3105  4 O 2.28-2.32
11 O 0.4412 0.8069 0.6179  4 Y 2.28-2.32
12 O 0.1341 0.4412 0.6179  4 Y 2.28-2.32
13 Y 0.7558 0.4545 0.6895  4 O 2.28-2.32
14 O 0.8659 0.5588 0.3821  4 Y 2.28-2.32

Results
raw formation energy = -2.64 eV per atom
D(E_F) = 3.3 states/eV per cell
size of the total moment = 0.00 μB/cell
calculated total energy = -8.092 eV/atom



Question: Which formula does entry 6 have?
Answer: Y3BiO3



Question: What is the formula in the sixth record?
Answer: Y3BiO3